No. 1
An optimized crystal structure of TlHCl2. Source: Alexandria via LeMat-Bulk, functional PBE.

SG: P1, No. 1
Offset from the most stable computed form, kJ/mol of formula units: 4

Unit cell a=4.960 b=9.452 c=7.563 alpha=121.04 beta=109.08 gamma=90.12
Element x y z (fractional)
1 Cl 0.972 0.007 0.317
2 Cl 0.299 0.511 0.300
3 Cl 0.067 0.826 0.841
4 Cl 0.727 0.331 0.825
5 Tl 0.576 0.946 0.523
6 Tl 0.125 0.392 0.619
7 H 0.017 0.901 0.033
8 H 0.057 0.436 0.109

No. 2
An optimized crystal structure of UZnRh2. Source: Alexandria via LeMat-Bulk, functional PBE.

SG: P2_1/m, No. 11
Energy relative to the elements, eV per atom: -0.455

Unit cell a=5.315 b=4.462 c=5.599 alpha=90.00 beta=80.98 gamma=90.00
Site moments in Bohr magnetons follow the coordinates.
Element x y z (fractional)
1 Rh 0.563 0.750 0.140  -0.04
2 Rh 0.821 0.750 0.644  -0.06
3 Rh 0.437 0.250 0.860  -0.04
4 Rh 0.179 0.250 0.356  -0.06
5 Zn 0.664 0.250 0.400  -0.01
6 Zn 0.336 0.750 0.600  -0.01
7 U 0.951 0.250 0.870  0.88
8 U 0.049 0.750 0.130  0.88

No. 3
An optimized crystal structure of LiSc2Pt2. Source: Alexandria via LeMat-Bulk, functional PBE.

SG: P4/mbm, No. 127
Energy relative to the elements, eV per atom: -0.962
Offset from the most stable computed form, kJ/mol of formula units: 9

Unit cell a=7.448 b=7.448 c=3.407 alpha=90.00 beta=90.00 gamma=90.00
Element x y z (fractional)
1 Sc 0.657 0.843 0.500
2 Sc 0.343 0.157 0.500
3 Sc 0.843 0.343 0.500
4 Sc 0.157 0.657 0.500
5 Li 0.000 0.000 0.000
6 Li 0.500 0.500 0.000
7 Pt 0.359 0.859 0.000
8 Pt 0.859 0.641 0.000
9 Pt 0.641 0.141 0.000
10 Pt 0.141 0.359 0.000

No. 4
An optimized crystal structure of ScPtPb2. Source: Alexandria via LeMat-Bulk, functional PBE.

SG: C2/m, No. 12
Energy relative to the elements, eV per atom: -0.152
Offset from the most stable computed form, kJ/mol of formula units: 133

Unit cell a=4.462 b=6.059 c=4.199 alpha=70.28 beta=88.58 gamma=111.08
Element x y z (fractional)
1 Pt 0.000 0.500 0.500
2 Pb 0.500 0.000 0.500
3 Pb 0.000 0.000 0.000
4 Sc 0.500 0.500 0.000

No. 5
An optimized crystal structure of CoOs2. Source: Alexandria via LeMat-Bulk, functional PBE.

SG: Immm, No. 71
Energy relative to the elements, eV per atom: 0.116
Offset from the most stable computed form, kJ/mol of formula units: 22

Unit cell a=4.569 b=4.569 c=4.569 alpha=145.66 beta=132.02 gamma=60.33
Site moments in Bohr magnetons follow the coordinates.
Element x y z (fractional)
1 Os 0.666 0.666 0.000  0.00
2 Os 0.334 0.334 0.000  0.00
3 Co 0.000 0.000 0.000  0.89

No. 6
An optimized crystal structure of LaAlBr2. Source: Alexandria via LeMat-Bulk, functional PBE.

SG: R-3m, No. 166
Offset from the most stable computed form, kJ/mol of formula units: 23

Unit cell a=10.603 b=10.603 c=10.603 alpha=20.46 beta=20.46 gamma=20.46
Element x y z (fractional)
1 Br 0.903 0.903 0.903
2 Br 0.097 0.097 0.097
3 La 0.500 0.500 0.500
4 Al 0.000 0.000 0.000

No. 7
An optimized crystal structure of CaAcLaPr. Source: Alexandria via LeMat-Bulk, functional PBE.

SG: F-43m, No. 216
Energy relative to the elements, eV per atom: 0.115
Offset from the most stable computed form, kJ/mol of formula units: 33

Unit cell a=6.094 b=6.094 c=6.094 alpha=60.00 beta=60.00 gamma=60.00
Element x y z (fractional)
1 Ac 0.750 0.750 0.750
2 Pr 0.000 0.000 0.000
3 Ca 0.250 0.250 0.250
4 La 0.500 0.500 0.500

No. 8
An optimized crystal structure of TbPdBr6. Source: Alexandria via LeMat-Bulk, functional PBE.

Raw total energy, eV for the cell shown: -27.26
SG: P-1, No. 2

Unit cell a=6.740 b=7.002 c=7.188 alpha=63.54 beta=62.03 gamma=57.91
Site moments in Bohr magnetons follow the coordinates.
Element x y z (fractional)
1 Pd 0.000 0.000 0.000  0.43
2 Br 0.230 0.926 0.236  0.03
3 Br 0.915 0.596 0.249  0.14
4 Br 0.403 0.775 0.755  0.02
5 Br 0.085 0.404 0.751  0.14
6 Br 0.770 0.074 0.764  0.03
7 Br 0.597 0.225 0.245  0.02
8 Tb 0.500 0.500 0.500  0.03

No. 9
An optimized crystal structure of CeUNO. Source: Alexandria via LeMat-Bulk, functional PBE.

Raw total energy, eV for the cell shown: -35.53
SG: F-43m, No. 216

Unit cell a=4.296 b=4.296 c=4.296 alpha=60.00 beta=60.00 gamma=60.00
Site moments in Bohr magnetons follow the coordinates.
Element x y z (fractional)
1 N 0.500 0.500 0.500  -0.08
2 Ce 0.750 0.750 0.750  0.93
3 U 0.250 0.250 0.250  2.44
4 O 0.000 0.000 0.000  -0.03

No. 10
An optimized crystal structure of ZrGaC. Source: Alexandria via LeMat-Bulk, functional PBE.

SG: Pnma, No. 62
Energy relative to the elements, eV per atom: -0.023

Unit cell a=3.610 b=5.246 c=10.817 alpha=90.00 beta=90.00 gamma=90.00
Element x y z (fractional)
1 Ga 0.250 0.559 0.926
2 Ga 0.250 0.941 0.426
3 Ga 0.750 0.441 0.074
4 Ga 0.750 0.059 0.574
5 Zr 0.250 0.620 0.667
6 Zr 0.750 0.380 0.333
7 Zr 0.750 0.120 0.833
8 Zr 0.250 0.880 0.167
9 C 0.750 0.382 0.669
10 C 0.250 0.618 0.331
11 C 0.750 0.118 0.169
12 C 0.250 0.882 0.831

No. 11
An optimized crystal structure of Sr4PaSe6. Source: Alexandria via LeMat-Bulk, functional PBE.

Raw total energy, eV for the cell shown: -114.29
SG: R-3c, No. 167

Unit cell a=8.750 b=8.750 c=8.750 alpha=89.87 beta=89.87 gamma=90.13
Site moments in Bohr magnetons follow the coordinates.
Element x y z (fractional)
1 Se 0.060 0.921 0.309  -0.01
2 Se 0.440 0.809 0.421  -0.01
3 Se 0.079 0.309 0.060  -0.01
4 Se 0.421 0.560 0.809  -0.01
5 Se 0.940 0.079 0.691  -0.01
6 Se 0.809 0.579 0.560  -0.01
7 Se 0.921 0.691 0.940  -0.01
8 Se 0.579 0.440 0.191  -0.01
9 Se 0.309 0.940 0.921  -0.01
10 Se 0.560 0.191 0.579  -0.01
11 Se 0.191 0.421 0.440  -0.01
12 Se 0.691 0.060 0.079  -0.01
13 Pa 0.500 0.500 0.500  1.01
14 Pa 0.000 0.000 0.000  1.01
15 Sr 0.750 0.373 0.873  0.00
16 Sr 0.250 0.627 0.127  0.00
17 Sr 0.750 0.750 0.250  0.01
18 Sr 0.373 0.127 0.250  0.00
19 Sr 0.627 0.873 0.750  0.00
20 Sr 0.127 0.750 0.627  0.00
21 Sr 0.250 0.250 0.750  0.01
22 Sr 0.873 0.250 0.373  0.00

No. 12
An optimized crystal structure of SmEuTm2. Source: Alexandria via LeMat-Bulk, functional PBE.

SG: R-3m, No. 166
Energy relative to the elements, eV per atom: 0.177
Offset from the most stable computed form, kJ/mol of formula units: 41

Unit cell a=3.525 b=3.525 c=12.657 alpha=82.00 beta=82.00 gamma=60.00
Site moments in Bohr magnetons follow the coordinates.
Element x y z (fractional)
1 Sm 0.500 0.500 0.500  -0.01
2 Tm 0.909 0.909 0.272  0.05
3 Tm 0.091 0.091 0.728  0.05
4 Eu 0.000 0.000 0.000  7.08